No. 1
An optimized crystal structure of Pr2Er7Th, computed with PBE.

Results
- E_tot (eV per atom) = -4.73
- ρ (kg/m³) = 8589
- size of the total moment (μB/atom) = 0.0002
- ΔE_f (meV/atom) = 161
- calculated volume (Å³ per atom) = 32.57

Cell lengths 3.4727, 14.7136, 14.7137 Å; angles 154.33, 90.00, 90.00 degrees
Last column: nearest neighbours and their distance in Å.
Fractional coordinates of all 10 atoms:
Er 0.0000 0.1848 0.8152  6 Er 3.45-3.47, 6 Pr 3.58-3.75
Er 0.0000 0.8152 0.1848  6 Er 3.45-3.47, 6 Pr 3.58-3.75
Er 0.5000 0.3416 0.1473  7 Er 3.20-3.47, 1 Pr 3.54
Er 0.5000 0.8527 0.6584  7 Er 3.20-3.47, 1 Pr 3.54
Er 0.5000 0.5000 0.5000  6 Er 3.25-3.47
Er 0.5000 0.6584 0.8527  7 Er 3.20-3.47, 1 Pr 3.54
Er 0.5000 0.1473 0.3416  7 Er 3.20-3.47, 1 Pr 3.54
Pr 0.5000 0.7059 0.2941  2 Pr 3.47, 8 Er 3.54-3.75
Pr 0.5000 0.2941 0.7059  2 Pr 3.47, 8 Er 3.54-3.75
Th 0.0000 0.0000 0.0000  2 Th 3.47, 12 Er 3.65-3.70

=====

No. 2
An optimized crystal structure of HfZrPb2Br, computed with PBE.

Results
- E_tot (eV per atom) = -4.97
- ρ (kg/m³) = 7521
- size of the total moment (μB/atom) = 0.0000
- calculated volume (Å³ per atom) = 33.74

Cell lengths 5.6421, 5.2989, 5.6421 Å; angles 90.00, 90.00, 90.00 degrees
Last column: nearest neighbours and their distance in Å.
Fractional coordinates of all 5 atoms:
Br 0.5000 0.5000 0.5000  8 Pb 3.87, 4 Zr 3.99
Zr 0.0000 0.5000 0.0000  2 Hf 2.65
Pb 0.5000 0.0000 0.0000  2 Hf 2.82
Pb 0.0000 0.0000 0.5000  2 Hf 2.82
Hf 0.0000 0.0000 0.0000  2 Zr 2.65, 4 Pb 2.82

=====

No. 3
An optimized crystal structure of Li3CaNi, computed with PBE.

Results
- E_tot (eV per atom) = -1.46
- ρ (kg/m³) = 1594
- size of the total moment (μB/atom) = 0.0000
- ΔE_f (meV/atom) = 1247
- calculated volume (Å³ per atom) = 24.91
- energy above the most stable polymorph in this dataset (eV per atom) = 1.1009

Cell lengths 4.9943, 4.9943, 4.9943 Å; angles 90.00, 90.00, 90.00 degrees
Last column: nearest neighbours and their distance in Å.
Fractional coordinates of all 5 atoms:
Li 0.0000 0.5000 0.0000  2 Ca 2.50
Li 0.5000 0.0000 0.0000  2 Ca 2.50
Li 0.0000 0.0000 0.5000  2 Ca 2.50
Ca 0.0000 0.0000 0.0000  6 Li 2.50
Ni 0.5000 0.5000 0.5000  12 Li 3.53